[1]
# meta-GGA SCAN CdMoSe2, single point on PBEsol structure
data_CdMoSe2
_cell_length_a 6.528
_cell_length_b 6.528
_cell_length_c 6.528
_cell_angle_alpha 90.00
_cell_angle_beta 90.00
_cell_angle_gamma 90.00
_symmetry_space_group_name_H-M 'F m -3 m'
_symmetry_Int_Tables_number 225
_symmetry_space_group_name_Hall '-F 4 2 3'
loop_
_atom_site_label
_atom_site_type_symbol
_atom_site_fract_x
_atom_site_fract_y
_atom_site_fract_z
Cd1 Cd 0.000 0.000 0.000
Mo1 Mo 0.000 0.000 0.500
Se1 Se 0.250 0.250 0.250
# ΔE_f (raw) in kJ/mol of atoms: 24.78
# M_tot in μB/atom: 0.001
# Distance to the lowest polymorph of the same formula in meV/atom: 230
# Total DFT energy (no corrections) in eV per cell: -417.72



[2]
# meta-GGA SCAN NaSbSe3, single point on PBEsol structure
data_NaSbSe3
_cell_length_a 5.307
_cell_length_b 5.307
_cell_length_c 5.307
_cell_angle_alpha 90.00
_cell_angle_beta 90.00
_cell_angle_gamma 90.00
_symmetry_space_group_name_H-M 'P m -3 m'
_symmetry_Int_Tables_number 221
_symmetry_space_group_name_Hall '-P 4 2 3'
loop_
_atom_site_label
_atom_site_type_symbol
_atom_site_fract_x
_atom_site_fract_y
_atom_site_fract_z
Na1 Na 0.000 0.000 0.000
Sb1 Sb 0.500 0.500 0.500
Se1 Se 0.000 0.500 0.500
# ΔE_f (raw) in kJ/mol of atoms: -11.14
# M_tot in μB/atom: 0.000
# Distance to the lowest polymorph of the same formula in meV/atom: 0
# Total DFT energy (no corrections) in eV per cell: -102.29



[3]
# meta-GGA SCAN ZrScFe2, single point on PBEsol structure
data_ZrScFe2
_cell_length_a 3.096
_cell_length_b 3.096
_cell_length_c 6.185
_cell_angle_alpha 90.00
_cell_angle_beta 90.00
_cell_angle_gamma 90.00
_symmetry_space_group_name_H-M 'P 4/m m m'
_symmetry_Int_Tables_number 123
_symmetry_space_group_name_Hall '-P 4 2'
loop_
_atom_site_label
_atom_site_type_symbol
_atom_site_fract_x
_atom_site_fract_y
_atom_site_fract_z
Zr1 Zr 0.000 0.000 0.000
Sc1 Sc 0.000 0.000 0.500
Fe1 Fe 0.500 0.500 0.244
# M_tot in μB/atom: 0.001
# Total DFT energy (no corrections) in eV per cell: -81.51
# Energy of formation in eV/atom: -0.08



[4]
# meta-GGA SCAN Ni2SnMoCl, single point on PBEsol structure
data_Ni2SnMoCl
_cell_length_a 4.598
_cell_length_b 4.598
_cell_length_c 5.271
_cell_angle_alpha 90.00
_cell_angle_beta 90.00
_cell_angle_gamma 90.00
_symmetry_space_group_name_H-M 'P 4/m m m'
_symmetry_Int_Tables_number 123
_symmetry_space_group_name_Hall '-P 4 2'
loop_
_atom_site_label
_atom_site_type_symbol
_atom_site_fract_x
_atom_site_fract_y
_atom_site_fract_z
Ni1 Ni 0.000 0.500 0.000
Sn1 Sn 0.000 0.000 0.000
Mo1 Mo 0.000 0.000 0.500
Cl1 Cl 0.500 0.500 0.500
# ΔE_f (raw) in kJ/mol of atoms: 130.57
# M_tot in μB/atom: 0.793
# Total DFT energy (no corrections) in eV per cell: -104.36



[5]
# meta-GGA SCAN Zr4Ir, single point on PBEsol structure
data_Zr4Ir
_cell_length_a 7.734
_cell_length_b 7.734
_cell_length_c 3.342
_cell_angle_alpha 90.00
_cell_angle_beta 90.00
_cell_angle_gamma 90.00
_symmetry_space_group_name_H-M 'I 4/m'
_symmetry_Int_Tables_number 87
_symmetry_space_group_name_Hall '-I 4'
loop_
_atom_site_label
_atom_site_type_symbol
_atom_site_fract_x
_atom_site_fract_y
_atom_site_fract_z
Zr1 Zr 0.088 0.281 0.000
Ir1 Ir 0.000 0.000 0.500
# M_tot in μB/atom: 0.000
# Total DFT energy (no corrections) in eV per cell: -392.41
# Energy of formation in eV/atom: -0.46



[6]
# meta-GGA SCAN TaSe2N2, single point on PBEsol structure
data_TaSe2N2
_cell_length_a 6.884
_cell_length_b 6.884
_cell_length_c 3.218
_cell_angle_alpha 90.00
_cell_angle_beta 90.00
_cell_angle_gamma 90.00
_symmetry_space_group_name_H-M 'P 4/m b m'
_symmetry_Int_Tables_number 127
_symmetry_space_group_name_Hall '-P 4 2ab'
loop_
_atom_site_label
_atom_site_type_symbol
_atom_site_fract_x
_atom_site_fract_y
_atom_site_fract_z
Ta1 Ta 0.000 0.000 0.000
Se1 Se 0.160 0.340 0.000
N1 N 0.227 0.727 0.500
# ΔE_f (raw) in kJ/mol of atoms: 113.51
# M_tot in μB/atom: 0.000
# Distance to the lowest polymorph of the same formula in meV/atom: 0
# Total DFT energy (no corrections) in eV per cell: -238.88



[7]
# meta-GGA SCAN YTlCd2, single point on PBEsol structure
data_YTlCd2
_cell_length_a 7.188
_cell_length_b 7.188
_cell_length_c 7.188
_cell_angle_alpha 90.00
_cell_angle_beta 90.00
_cell_angle_gamma 90.00
_symmetry_space_group_name_H-M 'F -4 3 m'
_symmetry_Int_Tables_number 216
_symmetry_space_group_name_Hall 'F -4 2 3'
loop_
_atom_site_label
_atom_site_type_symbol
_atom_site_fract_x
_atom_site_fract_y
_atom_site_fract_z
Y1 Y 0.000 0.000 0.000
Tl1 Tl 0.250 0.250 0.750
Cd1 Cd 0.000 0.000 0.500
Cd2 Cd 0.250 0.250 0.250
# M_tot in μB/atom: 0.000
# Distance to the lowest polymorph of the same formula in meV/atom: 96
# Total DFT energy (no corrections) in eV per cell: -648.73
# Energy of formation in eV/atom: -0.29



[8]
# meta-GGA SCAN CdPtAu2, single point on PBEsol structure
data_CdPtAu2
_cell_length_a 2.902
_cell_length_b 2.902
_cell_length_c 8.000
_cell_angle_alpha 90.00
_cell_angle_beta 90.00
_cell_angle_gamma 90.00
_symmetry_space_group_name_H-M 'P 4 m m'
_symmetry_Int_Tables_number 99
loop_
_symmetry_equiv_pos_as_xyz
'x,y,z'
'-y,x,z'
'-x,-y,z'
'y,-x,z'
'-x,y,z'
'y,x,z'
'x,-y,z'
'-y,-x,z'
loop_
_atom_site_label
_atom_site_type_symbol
_atom_site_fract_x
_atom_site_fract_y
_atom_site_fract_z
Cd1 Cd 0.000 0.000 0.000
Pt1 Pt 0.500 0.500 0.241
Au1 Au 0.000 0.000 0.484
Au2 Au 0.500 0.500 0.738
# M_tot in μB/atom: 0.000
# Total DFT energy (no corrections) in eV per cell: -239.44
# Energy of formation in eV/atom: -0.13



[9]
# meta-GGA SCAN SrRe2BiSe, single point on PBEsol structure
data_SrRe2BiSe
_cell_length_a 5.021
_cell_length_b 5.021
_cell_length_c 6.302
_cell_angle_alpha 90.00
_cell_angle_beta 90.00
_cell_angle_gamma 90.00
_symmetry_space_group_name_H-M 'P 4/m m m'
_symmetry_Int_Tables_number 123
_symmetry_space_group_name_Hall '-P 4 2'
loop_
_atom_site_label
_atom_site_type_symbol
_atom_site_fract_x
_atom_site_fract_y
_atom_site_fract_z
Sr1 Sr 0.000 0.000 0.000
Re1 Re 0.000 0.500 0.500
Bi1 Bi 0.000 0.000 0.500
Se1 Se 0.500 0.500 0.000
# ΔE_f (raw) in kJ/mol of atoms: 179.24
# M_tot in μB/atom: 1.019
# Total DFT energy (no corrections) in eV per cell: -253.84



[10]
# meta-GGA SCAN Nb2Si2Mo, single point on PBEsol structure
data_Nb2Si2Mo
_cell_length_a 6.568
_cell_length_b 6.568
_cell_length_c 3.509
_cell_angle_alpha 90.00
_cell_angle_beta 90.00
_cell_angle_gamma 90.00
_symmetry_space_group_name_H-M 'P 4/m b m'
_symmetry_Int_Tables_number 127
_symmetry_space_group_name_Hall '-P 4 2ab'
loop_
_atom_site_label
_atom_site_type_symbol
_atom_site_fract_x
_atom_site_fract_y
_atom_site_fract_z
Nb1 Nb 0.170 0.330 0.000
Si1 Si 0.130 0.630 0.500
Mo1 Mo 0.000 0.000 0.500
# ΔE_f (raw) in kJ/mol of atoms: -53.01
# M_tot in μB/atom: 0.000
# Total DFT energy (no corrections) in eV per cell: -247.85



[11]
# meta-GGA SCAN ScTc2Hg, single point on PBEsol structure
data_ScTc2Hg
_cell_length_a 3.904
_cell_length_b 3.904
_cell_length_c 4.259
_cell_angle_alpha 90.00
_cell_angle_beta 90.00
_cell_angle_gamma 90.00
_symmetry_space_group_name_H-M 'P 4/m m m'
_symmetry_Int_Tables_number 123
_symmetry_space_group_name_Hall '-P 4 2'
loop_
_atom_site_label
_atom_site_type_symbol
_atom_site_fract_x
_atom_site_fract_y
_atom_site_fract_z
Sc1 Sc 0.000 0.000 0.000
Tc1 Tc 0.000 0.500 0.500
Hg1 Hg 0.500 0.500 0.000
# M_tot in μB/atom: 0.000
# Total DFT energy (no corrections) in eV per cell: -152.27
# Energy of formation in eV/atom: 0.06



[12]
# meta-GGA SCAN Ni2IrBr, single point on PBEsol structure
data_Ni2IrBr
_cell_length_a 7.871
_cell_length_b 2.853
_cell_length_c 6.087
_cell_angle_alpha 90.00
_cell_angle_beta 103.86
_cell_angle_gamma 90.00
_symmetry_space_group_name_H-M 'C 1 m 1'
_symmetry_Int_Tables_number 8
loop_
_symmetry_equiv_pos_as_xyz
'x,y,z'
'x,-y,z'
'x+1/2,y+1/2,z'
'x+1/2,-y+1/2,z'
loop_
_atom_site_label
_atom_site_type_symbol
_atom_site_fract_x
_atom_site_fract_y
_atom_site_fract_z
Ni1 Ni 0.000 0.000 0.000
Ni2 Ni 0.247 0.500 0.174
Ir1 Ir 0.495 0.000 0.324
Br1 Br 0.114 0.000 0.683
# ΔE_f (raw) in kJ/mol of atoms: 53.64
# M_tot in μB/atom: 0.001
# Distance to the lowest polymorph of the same formula in meV/atom: 0
# Total DFT energy (no corrections) in eV per cell: -241.36